LiPuCo2O8 | Alexandria via LeMat-Bulk | GGA+U | optimized geometry; final energy = -6.72 eV per atom; symmetry = I-4m2 (119)
1.0
5.7647 0.2672 0.0000
-2.3173 5.2852 0.0000
-1.7237 -2.7762 4.7565
Li Pu Co O
1 1 2 8
Cartesian
-1.1586 2.6426 2.3783
0.0000 0.0000 0.0000
2.8823 0.1336 2.3783
1.7237 2.7762 0.0000
1.3655 -0.3690 1.3548
0.3673 2.2227 0.8604
0.1056 -1.4612 3.8961
3.1046 -1.4488 3.4017
3.0801 3.3296 0.8604
4.3991 0.6362 1.3548
2.6601 1.7160 3.4017
-0.1056 1.4612 3.8961

LiPu2CoO8 | Alexandria via LeMat-Bulk | GGA+U | optimized geometry; final energy = -8.06 eV per atom; symmetry = P-3 (147)
1.0
-3.0390 0.1675 4.5295
3.5933 -4.0422 -0.7270
4.1356 3.1986 2.6565
Li Pu Co O
1 2 1 8
Cartesian
2.0678 1.5993 1.3282
-0.3687 -0.8803 3.0726
5.0586 0.2042 3.3865
0.0000 0.0000 0.0000
3.0365 0.1636 5.9352
3.3855 1.6766 3.5700
1.5003 2.5015 5.5117
1.6535 -0.8398 0.5239
1.3044 -2.3527 2.8890
3.1897 -3.1777 0.9473
0.9258 0.1209 3.9040
3.7642 -0.7970 2.5550

LiPuCoO4 | Alexandria via LeMat-Bulk | GGA+U | optimized geometry; final energy = -7.91 eV per atom; symmetry = Imma (74)
1.0
5.8567 0.0000 0.0000
-2.9284 5.4394 -0.6637
0.0000 -3.5260 5.7985
Li Pu Co O
2 2 2 8
Cartesian
2.9284 3.5050 0.1457
0.0000 -1.5915 4.9892
2.9284 -1.7630 2.8993
2.9284 0.0000 0.0000
1.4642 0.9567 2.5674
-1.4642 0.9567 2.5674
2.9284 0.2125 3.6956
-1.3317 4.4296 0.7079
1.3317 4.4296 0.7079
2.9284 1.6159 1.3876
0.0000 0.2975 3.7472
4.2600 -2.5162 4.4269
1.5967 -2.5162 4.4269
0.0000 1.7009 1.4393

Look up the final energy of the third one.
-7.91 eV per atom

What is the final energy in the third record?
-7.91 eV per atom